1.
Material: Ce2ScAl9
Method: DFT, GGA-PBE
State: relaxed

Values from the calculation:
* DFT formation energy: -0.28 eV per atom
* DFT total energy: -55.2 eV/f.u.

Lattice parameters (Å, degrees): 5.5346 5.5346 9.4194 72.92 72.92 60.00
Atoms (fractional coordinates):
Al: 0.9232 0.4149 0.2470
Al: 0.4149 0.4149 0.2470
Sc: 0.0000 0.0000 0.0000
Al: 0.3348 0.3348 0.9957
Ce: 0.1445 0.1445 0.5666
Al: 0.4149 0.9232 0.2470
Al: 0.5000 0.5000 0.5000
Ce: 0.8555 0.8555 0.4334
Al: 0.6652 0.6652 0.0043
Al: 0.0768 0.5851 0.7530
Al: 0.5851 0.0768 0.7530
Al: 0.5851 0.5851 0.7530

2.
Material: CeSc3Al8
Method: DFT, GGA-PBE
State: relaxed

Values from the calculation:
* DFT formation energy: -0.46 eV per atom
* DFT total energy: -60.4 eV/f.u.
* E above lowest polymorph: 0 meV/atom

Lattice parameters (Å, degrees): 5.4216 5.4216 9.4584 73.35 73.35 60.00
Atoms (fractional coordinates):
Al: 0.4390 0.9412 0.1808
Sc: 0.3754 0.3754 0.8737
Al: 0.9412 0.4390 0.1808
Sc: 0.0006 0.0006 0.9981
Al: 0.9361 0.4348 0.6930
Al: 0.9361 0.9361 0.6930
Al: 0.4390 0.4390 0.1808
Ce: 0.8746 0.8746 0.3761
Al: 0.4348 0.9361 0.6930
Sc: 0.4982 0.4982 0.5055
Al: 0.1868 0.1868 0.4395
Al: 0.6881 0.6881 0.9358